Run A
Here is an optimized crystal structure of LaTb2Pm3 from Alexandria. Energies are from PBE.

Cell: 3.6446 18.9858 11.8426 Å, 90.00 90.00 90.00°
Space group Cmcm (No. 63)
Asymmetric unit:
La: 0.0000 0.2205 0.2500
Tb: 0.0000 0.0000 0.0000
Tb: 0.0000 0.4462 0.7500
Pm: 0.0000 0.1082 0.7500
Pm: 0.0000 0.3355 0.0022

As for the total magnetic moment: 0.000 μB per cell. For the density of states at the Fermi level, the calculation gives 30.53 states/eV per cell. The value obtained for the calculated volume is 204.9 Å³/f.u.

Run B
Here is an optimized crystal structure of LaTb2Pm3 from Alexandria. Energies are from PBE.

Cell: 3.5001 5.9984 19.8499 Å, 90.00 90.00 90.00°
Space group Immm (No. 71)
Asymmetric unit:
La: 0.0000 0.0000 0.0000
Tb: 0.0000 0.0000 0.3618
Pm: 0.0000 0.0000 0.1924
Pm: 0.0000 0.5000 0.0000

As for the total magnetic moment: 0.000 μB per cell. For the density of states at the Fermi level, the calculation gives 21.97 states/eV per cell. The value obtained for the calculated volume is 208.4 Å³/f.u.

Each structure's energy above the most stable one, in kJ/mol of atoms: run A 0.0; run B 28.7.

Run A
Here is an optimized crystal structure of La12Tb7Pm from Alexandria. Energies are from PBE.

Cell: 13.7218 13.7218 12.9213 Å, 90.00 90.00 120.00°
Space group R-3m (No. 166, hexagonal axes)
Asymmetric unit:
La: 0.0000 0.2602 0.0000
La: 0.0889 0.1779 0.7660
Tb: 0.0000 0.0000 0.0000
Tb: 0.0473 0.5236 0.1166
Pm: 0.0000 0.0000 0.5000

As for the total magnetic moment: 0.000 μB per cell. For the density of states at the Fermi level, the calculation gives 99.13 states/eV per cell. The value obtained for the calculated volume is 702.3 Å³/f.u.

Run B
Here is an optimized crystal structure of La12Tb7Pm from Alexandria. Energies are from PBE.

Cell: 19.6422 19.6422 6.3919 Å, 90.00 90.00 120.00°
Space group R-3m (No. 166, hexagonal axes)
Asymmetric unit:
La: 0.0000 0.4077 0.0000
La: 0.0964 0.5482 0.4791
Tb: 0.0000 0.0000 0.0000
Tb: 0.0832 0.1664 0.3016
Pm: 0.0000 0.0000 0.5000

As for the total magnetic moment: 0.000 μB per cell. For the density of states at the Fermi level, the calculation gives 79.87 states/eV per cell. The value obtained for the calculated volume is 711.9 Å³/f.u.

Each structure's energy above the most stable one, in kJ/mol of atoms: run A 0.0; run B 10.7.

Run A
Here is an optimized crystal structure of LaTbPm3 from Alexandria. Energies are from PBE.

Cell: 17.7065 6.8770 6.0701 Å, 90.00 109.98 90.00°
Space group C2/m (No. 12)
Asymmetric unit:
La: 0.0000 0.0000 0.0000
La: 0.0000 0.0000 0.5000
Tb: 0.0500 0.5000 0.3001
Pm: 0.1536 0.2664 0.9034
Pm: 0.2280 0.0000 0.4775

As for the total magnetic moment: 0.000 μB per cell. For the density of states at the Fermi level, the calculation gives 31.43 states/eV per cell. The value obtained for the calculated volume is 173.7 Å³/f.u.

Run B
Here is an optimized crystal structure of LaTbPm3 from Alexandria. Energies are from PBE.

Cell: 22.5205 3.6921 8.7070 Å, 90.00 105.79 90.00°
Space group C2/m (No. 12)
Asymmetric unit:
La: 0.0850 0.0000 0.0879
Tb: 0.2186 0.5000 0.3219
Pm: 0.0168 0.5000 0.7135
Pm: 0.1181 0.0000 0.5188
Pm: 0.1847 0.5000 0.8837

As for the total magnetic moment: 0.000 μB per cell. For the density of states at the Fermi level, the calculation gives 35.47 states/eV per cell. The value obtained for the calculated volume is 174.2 Å³/f.u.

Each structure's energy above the most stable one, in kJ/mol of atoms: run A 14.6; run B 0.0.